# KBeAl2, relaxed, DFT PBEsol
# E_form in eV/atom: 0.648
# DOS at the Fermi energy in states/eV/f.u.: 1.11
# E in eV/atom: -2.68
data_KBeAl2
_chemical_formula_sum 'K4 Be4 Al8'
_space_group_name_H-M_alt 'P 1'
_space_group_IT_number 1
_space_group_name_Hall 'P 1'
_cell_length_a 6.710
_cell_length_b 6.710
_cell_length_c 6.710
_cell_angle_alpha 90.00
_cell_angle_beta 90.00
_cell_angle_gamma 90.00
loop_
_atom_site_label
_atom_site_type_symbol
_atom_site_fract_x
_atom_site_fract_y
_atom_site_fract_z
K1 K 0.000 0.000 0.000
K2 K 0.000 0.500 0.500
K3 K 0.500 0.000 0.500
K4 K 0.500 0.500 0.000
Be1 Be 0.250 0.250 0.750
Be2 Be 0.250 0.750 0.250
Be3 Be 0.750 0.250 0.250
Be4 Be 0.750 0.750 0.750
Al1 Al 0.000 0.000 0.500
Al2 Al 0.000 0.500 0.000
Al3 Al 0.250 0.250 0.250
Al4 Al 0.250 0.750 0.750
Al5 Al 0.500 0.000 0.000
Al6 Al 0.500 0.500 0.500
Al7 Al 0.750 0.250 0.750
Al8 Al 0.750 0.750 0.250

# La3BeAl, relaxed, DFT PBEsol
# E_form in eV/atom: 0.300
# DOS at the Fermi energy in states/eV/f.u.: 8.10
# E in eV/atom: -4.53
data_La3BeAl
_chemical_formula_sum 'La3 Be1 Al1'
_space_group_name_H-M_alt 'P 1'
_space_group_IT_number 1
_space_group_name_Hall 'P 1'
_cell_length_a 5.271
_cell_length_b 5.271
_cell_length_c 5.271
_cell_angle_alpha 90.00
_cell_angle_beta 90.00
_cell_angle_gamma 90.00
loop_
_atom_site_label
_atom_site_type_symbol
_atom_site_fract_x
_atom_site_fract_y
_atom_site_fract_z
La1 La 0.000 0.000 0.500
La2 La 0.000 0.500 0.000
La3 La 0.500 0.000 0.000
Be1 Be 0.000 0.000 0.000
Al1 Al 0.500 0.500 0.500

# LaBeAl2, relaxed, DFT PBEsol
# E_form in eV/atom: -0.013
# DOS at the Fermi energy in states/eV/f.u.: 2.03
# E in eV/atom: -4.40
data_LaBeAl2
_chemical_formula_sum 'La1 Be1 Al2'
_space_group_name_H-M_alt 'P 1'
_space_group_IT_number 1
_space_group_name_Hall 'P 1'
_cell_length_a 2.988
_cell_length_b 3.647
_cell_length_c 6.946
_cell_angle_alpha 90.00
_cell_angle_beta 90.00
_cell_angle_gamma 90.00
loop_
_atom_site_label
_atom_site_type_symbol
_atom_site_fract_x
_atom_site_fract_y
_atom_site_fract_z
La1 La 0.000 0.000 0.000
Be1 Be 0.500 0.500 0.688
Al1 Al 0.000 0.000 0.540
Al2 Al 0.500 0.500 0.325

# LiBeAl2, relaxed, DFT PBEsol
# E_form in eV/atom: 0.107
# DOS at the Fermi energy in states/eV/f.u.: 1.11
# E in eV/atom: -3.43
data_LiBeAl2
_chemical_formula_sum 'Li1 Be1 Al2'
_space_group_name_H-M_alt 'P 1'
_space_group_IT_number 1
_space_group_name_Hall 'P 1'
_cell_length_a 2.836
_cell_length_b 3.744
_cell_length_c 5.260
_cell_angle_alpha 90.00
_cell_angle_beta 90.00
_cell_angle_gamma 90.00
loop_
_atom_site_label
_atom_site_type_symbol
_atom_site_fract_x
_atom_site_fract_y
_atom_site_fract_z
Li1 Li 0.000 0.000 0.000
Be1 Be 0.500 0.500 0.744
Al1 Al 0.000 0.000 0.524
Al2 Al 0.500 0.500 0.251

# Li2BeAl2, relaxed, DFT PBEsol
# E_form in eV/atom: 0.475
# DOS at the Fermi energy in states/eV/f.u.: 1.99
# E in eV/atom: -2.75
data_Li2BeAl2
_chemical_formula_sum 'Li4 Be2 Al4'
_space_group_name_H-M_alt 'P 1'
_space_group_IT_number 1
_space_group_name_Hall 'P 1'
_cell_length_a 3.645
_cell_length_b 3.645
_cell_length_c 12.810
_cell_angle_alpha 90.00
_cell_angle_beta 90.00
_cell_angle_gamma 90.00
loop_
_atom_site_label
_atom_site_type_symbol
_atom_site_fract_x
_atom_site_fract_y
_atom_site_fract_z
Li1 Li 0.000 0.000 0.091
Li2 Li 0.000 0.000 0.909
Li3 Li 0.500 0.500 0.409
Li4 Li 0.500 0.500 0.591
Be1 Be 0.000 0.000 0.500
Be2 Be 0.500 0.500 0.000
Al1 Al 0.000 0.500 0.250
Al2 Al 0.000 0.500 0.750
Al3 Al 0.500 0.000 0.250
Al4 Al 0.500 0.000 0.750

# LiBeAl2, relaxed, DFT PBEsol
# E_form in eV/atom: 0.130
# DOS at the Fermi energy in states/eV/f.u.: 1.38
# E in eV/atom: -3.41
data_LiBeAl2
_chemical_formula_sum 'Li2 Be2 Al4'
_space_group_name_H-M_alt 'P 1'
_space_group_IT_number 1
_space_group_name_Hall 'P 1'
_cell_length_a 8.879
_cell_length_b 2.749
_cell_length_c 4.644
_cell_angle_alpha 90.00
_cell_angle_beta 100.10
_cell_angle_gamma 90.00
loop_
_atom_site_label
_atom_site_type_symbol
_atom_site_fract_x
_atom_site_fract_y
_atom_site_fract_z
Li1 Li 0.000 0.000 0.000
Li2 Li 0.500 0.500 0.000
Be1 Be 0.251 0.000 0.747
Be2 Be 0.751 0.500 0.747
Al1 Al 0.014 0.500 0.524
Al2 Al 0.259 0.500 0.241
Al3 Al 0.514 0.000 0.524
Al4 Al 0.759 0.000 0.241

# Mg2BeAl, relaxed, DFT PBEsol
# E_form in eV/atom: 0.239
# DOS at the Fermi energy in states/eV/f.u.: 1.36
# E in eV/atom: -2.64
data_Mg2BeAl
_chemical_formula_sum 'Mg4 Be2 Al2'
_space_group_name_H-M_alt 'P 1'
_space_group_IT_number 1
_space_group_name_Hall 'P 1'
_cell_length_a 2.903
_cell_length_b 4.650
_cell_length_c 10.268
_cell_angle_alpha 90.00
_cell_angle_beta 90.00
_cell_angle_gamma 90.00
loop_
_atom_site_label
_atom_site_type_symbol
_atom_site_fract_x
_atom_site_fract_y
_atom_site_fract_z
Mg1 Mg 0.000 0.000 0.000
Mg2 Mg 0.000 0.500 0.204
Mg3 Mg 0.500 0.000 0.704
Mg4 Mg 0.500 0.500 0.500
Be1 Be 0.000 0.000 0.484
Be2 Be 0.500 0.500 0.984
Al1 Al 0.000 0.500 0.791
Al2 Al 0.500 0.000 0.291

# MgBeAl2, relaxed, DFT PBEsol
# E_form in eV/atom: 0.232
# DOS at the Fermi energy in states/eV/f.u.: 1.44
# E in eV/atom: -3.24
data_MgBeAl2
_chemical_formula_sum 'Mg2 Be2 Al4'
_space_group_name_H-M_alt 'P 1'
_space_group_IT_number 1
_space_group_name_Hall 'P 1'
_cell_length_a 9.052
_cell_length_b 2.867
_cell_length_c 4.984
_cell_angle_alpha 90.00
_cell_angle_beta 101.78
_cell_angle_gamma 90.00
loop_
_atom_site_label
_atom_site_type_symbol
_atom_site_fract_x
_atom_site_fract_y
_atom_site_fract_z
Mg1 Mg 0.000 0.000 0.000
Mg2 Mg 0.500 0.500 0.000
Be1 Be 0.247 0.500 0.255
Be2 Be 0.747 0.000 0.255
Al1 Al 0.235 0.000 0.713
Al2 Al 0.478 0.000 0.476
Al3 Al 0.735 0.500 0.713
Al4 Al 0.978 0.500 0.476